DFT (PBE) results for an optimized crystal structure of NpHg2Au.

a b c (Å): 5.0727 5.0727 5.0727
angles (deg): 60.00 60.00 60.00
Closest atoms and distances in Å follow each position.
Atoms (fractional coordinates):
Np  0.0000  0.0000  0.0000  8 Hg 3.11
Au  0.5000  0.5000  0.5000  8 Hg 3.11
Hg  0.2500  0.2500  0.2500  4 Np 3.11, 4 Au 3.11
Hg  0.7500  0.7500  0.7500  4 Au 3.11, 4 Np 3.11

Computed properties:
Formation energy from the elements: 110 meV/atom
ΔE to the lowest computed polymorph: 11 meV/atom
Space-group type: Fm-3m

***

DFT (PBE) results for an optimized crystal structure of NpHg2Au.

a b c (Å): 3.1745 3.1745 8.8143
angles (deg): 90.00 90.00 90.00
Closest atoms and distances in Å follow each position.
Atoms (fractional coordinates):
Np  0.5000  0.5000  0.5000  4 Np 3.17, 8 Hg 3.28
Au  0.5000  0.5000  0.0000  8 Hg 3.02, 4 Au 3.17
Hg  0.0000  0.0000  0.7710  4 Au 3.02, 4 Hg 3.17, 4 Np 3.28
Hg  0.0000  0.0000  0.2290  4 Au 3.02, 4 Hg 3.17, 4 Np 3.28

Computed properties:
Formation energy from the elements: 110 meV/atom
ΔE to the lowest computed polymorph: 10 meV/atom
Space-group type: P4/mmm

***

DFT (PBE) results for an optimized crystal structure of NpHgAu.

a b c (Å): 2.9985 5.0291 5.0291
angles (deg): 120.00 90.00 90.00
Closest atoms and distances in Å follow each position.
Atoms (fractional coordinates):
Np  0.6666  0.6667  0.3333  2 Np 3.00, 6 Au 3.27, 6 Hg 3.27
Au  0.1675  0.3333  0.6667  3 Hg 2.90, 2 Au 3.00
Hg  0.1660  0.0000  0.0000  3 Au 2.90, 2 Hg 3.00

Computed properties:
Formation energy from the elements: -94 meV/atom
ΔE to the lowest computed polymorph: 0 meV/atom
Space-group type: P-6m2

***

DFT (PBE) results for an optimized crystal structure of NpHgAu4.

a b c (Å): 5.6215 5.6215 5.6215
angles (deg): 60.00 60.00 60.00
Closest atoms and distances in Å follow each position.
Atoms (fractional coordinates):
Np  0.2500  0.2500  0.2500  12 Au 3.30, 4 Hg 3.44
Au  0.6252  0.6252  0.1243  6 Au 2.81-2.82
Au  0.6252  0.1243  0.6252  6 Au 2.81-2.82
Au  0.6252  0.6252  0.6252  6 Au 2.81-2.82
Au  0.1243  0.6252  0.6252  6 Au 2.81-2.82
Hg  0.0000  0.0000  0.0000  12 Au 3.30, 4 Np 3.44

Computed properties:
Formation energy from the elements: -74 meV/atom
Space-group type: F-43m

***

DFT (PBE) results for an optimized crystal structure of NpHgAuO6.

a b c (Å): 5.5198 5.5198 10.1476
angles (deg): 90.00 90.00 120.00
Closest atoms and distances in Å follow each position.
Atoms (fractional coordinates):
Np  0.6667  0.3333  0.2500  6 O 2.05
Np  0.3333  0.6667  0.7500  6 O 2.05
Hg  0.0000  0.0000  0.0000  6 O 2.39
Hg  0.0000  0.0000  0.5000  6 O 2.39
Au  0.3333  0.6667  0.2500  6 O 2.21
Au  0.6667  0.3333  0.7500  6 O 2.21
O  0.6600  0.6368  0.1369  1 Np 2.05, 1 Au 2.21
O  0.9768  0.3400  0.1369  1 Np 2.05, 1 Au 2.21
O  0.3400  0.9768  0.6369  1 Np 2.05, 1 Au 2.21
O  0.0232  0.6600  0.8631  1 Np 2.05, 1 Au 2.21
O  0.3632  0.3400  0.3631  1 Np 2.05, 1 Au 2.21
O  0.9768  0.6368  0.3631  1 Np 2.05, 1 Au 2.21
O  0.6368  0.9768  0.8631  1 Np 2.05, 1 Au 2.21
O  0.6600  0.0232  0.3631  1 Np 2.05, 1 Au 2.21
O  0.0232  0.3632  0.6369  1 Np 2.05, 1 Au 2.21
O  0.3632  0.0232  0.1369  1 Np 2.05, 1 Au 2.21
O  0.6368  0.6600  0.6369  1 Np 2.05, 1 Au 2.21
O  0.3400  0.3632  0.8631  1 Np 2.05, 1 Au 2.21

Computed properties:
Final energy: -112.573 eV per cell
Space-group type: P-31c

***

DFT (PBE) results for an optimized crystal structure of NpHg2AuO6.

a b c (Å): 5.2017 5.8075 6.3986
angles (deg): 116.99 113.02 90.00
Closest atoms and distances in Å follow each position.
Atoms (fractional coordinates):
Np  0.0000  0.5000  0.0000  2 O 1.95
Hg  0.1946  0.2292  0.4583  3 O 2.16-2.33
Hg  0.8054  0.7708  0.5417  3 O 2.16-2.33
Au  0.5000  0.0000  0.0000  4 O 2.05
O  0.3445  0.6647  0.3294  1 Np 1.95, 1 Hg 2.16
O  0.1775  0.1456  0.8238  1 Au 2.05, 1 Np 2.25
O  0.8225  0.3217  0.1762  1 Au 2.05, 1 Np 2.25
O  0.1775  0.6783  0.8238  1 Au 2.05, 1 Np 2.25
O  0.8225  0.8544  0.1762  1 Au 2.05, 1 Np 2.25
O  0.6555  0.3353  0.6706  1 Np 1.95, 1 Hg 2.16

Computed properties:
Final energy: -58.029 eV per cell
Space-group type: C2/m

***

DFT (PBE) results for an optimized crystal structure of NpHgPtAu.

a b c (Å): 4.9154 4.9154 4.9154
angles (deg): 60.00 60.00 60.00
Closest atoms and distances in Å follow each position.
Atoms (fractional coordinates):
Np  0.0000  0.0000  0.0000  4 Pt 3.01, 4 Au 3.01
Au  0.7500  0.7500  0.7500  4 Np 3.01, 4 Hg 3.01
Hg  0.5000  0.5000  0.5000  4 Pt 3.01, 4 Au 3.01
Pt  0.2500  0.2500  0.2500  4 Hg 3.01, 4 Np 3.01

Computed properties:
Formation energy from the elements: -207 meV/atom
Space-group type: F-43m

***

DFT (PBE) results for an optimized crystal structure of PuNpHgAu.

a b c (Å): 5.2377 5.2377 5.2377
angles (deg): 60.00 60.00 60.00
Closest atoms and distances in Å follow each position.
Atoms (fractional coordinates):
Np  0.0000  0.0000  0.0000  4 Hg 3.21, 4 Au 3.21
Au  0.2500  0.2500  0.2500  4 Np 3.21, 4 Pu 3.21
Hg  0.7500  0.7500  0.7500  4 Np 3.21, 4 Pu 3.21
Pu  0.5000  0.5000  0.5000  4 Au 3.21, 4 Hg 3.21

Computed properties:
Formation energy from the elements: 71 meV/atom
Space-group type: F-43m